(w)
DFT (PBE) results for TbY3Sb3 after structural relaxation.

Lattice parameters (Å, degrees): 8.0461 8.0461 8.0461 67.95 67.95 67.95
With the nearest neighbours (Å) after each atom.
Fractional positions:
Tb (0.1664, 0.1664, 0.1664)  6 Sb 3.15-3.19
Tb (0.8336, 0.8336, 0.8336)  6 Sb 3.15-3.19
Y (0.1535, 0.4123, 0.6794)  5 Sb 3.06-3.26
Y (0.3206, 0.8465, 0.5877)  5 Sb 3.06-3.26
Y (0.4123, 0.6794, 0.1535)  5 Sb 3.06-3.26
Y (0.5877, 0.3206, 0.8465)  5 Sb 3.06-3.26
Y (0.6794, 0.1535, 0.4123)  5 Sb 3.06-3.26
Y (0.8465, 0.5877, 0.3206)  5 Sb 3.06-3.26
Sb (0.0316, 0.8016, 0.4222)  5 Y 3.06-3.26, 2 Tb 3.15-3.19
Sb (0.1984, 0.5778, 0.9684)  5 Y 3.06-3.26, 2 Tb 3.15-3.19
Sb (0.4222, 0.0316, 0.8016)  5 Y 3.06-3.26, 2 Tb 3.15-3.19
Sb (0.5778, 0.9684, 0.1984)  5 Y 3.06-3.26, 2 Tb 3.15-3.19
Sb (0.8016, 0.4222, 0.0316)  5 Y 3.06-3.26, 2 Tb 3.15-3.19
Sb (0.9684, 0.1984, 0.5778)  5 Y 3.06-3.26, 2 Tb 3.15-3.19

## Properties
V = 30.75 Å³ per atom
spin magnetization = 0.0 μB/f.u.

=====

(x)
DFT (PBE) results for TbY3Sb3 after structural relaxation.

Lattice parameters (Å, degrees): 9.2186 9.2186 9.2186 90.00 90.00 90.00
With the nearest neighbours (Å) after each atom.
Fractional positions:
Tb (0.0717, 0.4283, 0.5717)  6 Sb 3.08-3.31
Tb (0.4283, 0.5717, 0.0717)  6 Sb 3.08-3.31
Tb (0.5717, 0.0717, 0.4283)  6 Sb 3.08-3.31
Tb (0.9283, 0.9283, 0.9283)  6 Sb 3.08-3.31
Y (0.0723, 0.5723, 0.9277)  6 Sb 3.08-3.31
Y (0.1784, 0.1784, 0.1784)  6 Sb 3.08-3.31
Y (0.1781, 0.8219, 0.3219)  6 Sb 3.08-3.31
Y (0.3219, 0.1781, 0.8219)  6 Sb 3.08-3.31
Y (0.3216, 0.8216, 0.6784)  6 Sb 3.08-3.31
Y (0.4277, 0.4277, 0.4277)  6 Sb 3.08-3.31
Y (0.5723, 0.9277, 0.0723)  6 Sb 3.08-3.31
Y (0.6784, 0.3216, 0.8216)  6 Sb 3.08-3.31
Y (0.6781, 0.6781, 0.6781)  6 Sb 3.08-3.31
Y (0.8219, 0.3219, 0.1781)  6 Sb 3.08-3.31
Y (0.8216, 0.6784, 0.3216)  6 Sb 3.08-3.31
Y (0.9277, 0.0723, 0.5723)  6 Sb 3.08-3.31
Sb (0.0001, 0.2504, 0.8753)  6 Y 3.08-3.31, 2 Tb 3.08-3.31
Sb (0.9999, 0.7504, 0.6247)  6 Y 3.08-3.31, 2 Tb 3.08-3.31
Sb (0.1247, 0.5001, 0.2496)  6 Y 3.08-3.31, 2 Tb 3.08-3.31
Sb (0.2496, 0.1247, 0.5001)  6 Y 3.08-3.31, 2 Tb 3.08-3.31
Sb (0.2504, 0.8753, 0.0001)  6 Y 3.08-3.31, 2 Tb 3.08-3.31
Sb (0.3753, 0.4999, 0.7496)  6 Y 3.08-3.31, 2 Tb 3.08-3.31
Sb (0.5001, 0.2496, 0.1247)  6 Y 3.08-3.31, 2 Tb 3.08-3.31
Sb (0.4999, 0.7496, 0.3753)  6 Y 3.08-3.31, 2 Tb 3.08-3.31
Sb (0.6247, 0.9999, 0.7504)  6 Y 3.08-3.31, 2 Tb 3.08-3.31
Sb (0.7496, 0.3753, 0.4999)  6 Y 3.08-3.31, 2 Tb 3.08-3.31
Sb (0.7504, 0.6247, 0.9999)  6 Y 3.08-3.31, 2 Tb 3.08-3.31
Sb (0.8753, 0.0001, 0.2504)  6 Y 3.08-3.31, 2 Tb 3.08-3.31

## Properties
V = 27.98 Å³ per atom
spin magnetization = 0.0 μB/f.u.

=====

Stability ranking, top entry: (x); the second entry is 89 meV/atom less favorable.

=====

(w)
DFT (PBE) results for TbZnSb after structural relaxation.

Lattice parameters (Å, degrees): 6.1597 6.1091 8.9056 90.00 95.21 90.00
With the nearest neighbours (Å) after each atom.
Fractional positions:
Tb (0.2237, 0.0000, 0.3281)  5 Sb 3.06-3.11, 1 Zn 3.11
Tb (0.2763, 0.5000, 0.6719)  5 Sb 3.06-3.11, 1 Zn 3.11
Tb (0.7237, 0.5000, 0.3281)  5 Sb 3.06-3.11, 1 Zn 3.11
Tb (0.7763, 0.0000, 0.6719)  5 Sb 3.06-3.11, 1 Zn 3.11
Zn (0.2113, 0.0000, 0.9785)  1 Zn 2.66, 1 Sb 2.74
Zn (0.2887, 0.5000, 0.0215)  1 Zn 2.66, 1 Sb 2.74
Zn (0.7113, 0.5000, 0.9785)  1 Zn 2.66, 1 Sb 2.74
Zn (0.7887, 0.0000, 0.0215)  1 Zn 2.66, 1 Sb 2.74
Sb (0.2210, 0.5000, 0.3208)  1 Zn 2.74, 2 Tb 3.06
Sb (0.2790, 0.0000, 0.6792)  1 Zn 2.74, 2 Tb 3.06
Sb (0.7210, 0.0000, 0.3208)  1 Zn 2.74, 2 Tb 3.06
Sb (0.7790, 0.5000, 0.6792)  1 Zn 2.74, 2 Tb 3.06

## Properties
V = 27.81 Å³ per atom
spin magnetization = 0.0 μB/f.u.

=====

(x)
DFT (PBE) results for TbZnSb after structural relaxation.

Lattice parameters (Å, degrees): 4.4025 4.4025 4.3022 90.00 90.00 120.00
With the nearest neighbours (Å) after each atom.
Fractional positions:
Tb (0.0000, 0.0000, 0.0000)  3 Zn 2.91, 3 Sb 3.20
Zn (0.3333, 0.6667, 0.3283)  3 Sb 2.71, 3 Tb 2.91
Sb (0.6667, 0.3333, 0.5478)  3 Zn 2.71

## Properties
V = 24.07 Å³ per atom
spin magnetization = 0.0 μB/f.u.

=====

Stability ranking, top entry: (x); the second entry is 89 meV/atom less favorable.

=====

(w)
DFT (PBE) results for TcSb2 after structural relaxation.

Lattice parameters (Å, degrees): 5.0793 5.0793 3.0115 90.00 90.00 120.00
With the nearest neighbours (Å) after each atom.
Fractional positions:
Tc (0.0000, 0.0000, 0.0000)  2 Tc 3.01, 12 Sb 3.30
Sb (0.3333, 0.6667, 0.5000)  5 Sb 2.93-3.01
Sb (0.6667, 0.3333, 0.5000)  5 Sb 2.93-3.01

## Properties
V = 22.43 Å³ per atom
spin magnetization = 2.1 μB/f.u.

=====

(x)
DFT (PBE) results for TcSb2 after structural relaxation.

Lattice parameters (Å, degrees): 6.8219 4.4133 8.4131 90.00 90.00 90.00
With the nearest neighbours (Å) after each atom.
Fractional positions:
Tc (0.2326, 0.2500, 0.1444)  7 Sb 2.73-3.02
Tc (0.2674, 0.7500, 0.6444)  7 Sb 2.73-3.02
Tc (0.7326, 0.2500, 0.3556)  7 Sb 2.73-3.02
Tc (0.7674, 0.7500, 0.8556)  7 Sb 2.73-3.02
Sb (0.0559, 0.7500, 0.3432)  5 Tc 2.92-3.12, 3 Sb 3.14-3.25
Sb (0.1477, 0.7500, 0.9566)  4 Tc 2.73-2.77
Sb (0.3523, 0.2500, 0.4566)  4 Tc 2.73-2.77
Sb (0.4441, 0.2500, 0.8432)  5 Tc 2.92-3.12, 3 Sb 3.14-3.25
Sb (0.5559, 0.7500, 0.1568)  5 Tc 2.92-3.12, 3 Sb 3.14-3.25
Sb (0.6477, 0.7500, 0.5434)  4 Tc 2.73-2.77
Sb (0.8523, 0.2500, 0.0434)  4 Tc 2.73-2.77
Sb (0.9441, 0.2500, 0.6568)  5 Tc 2.92-3.12, 3 Sb 3.14-3.25

## Properties
V = 21.11 Å³ per atom
spin magnetization = 0.0 μB/f.u.

=====

(y)
DFT (PBE) results for TcSb2 after structural relaxation.

Lattice parameters (Å, degrees): 6.3772 6.3772 6.0734 90.00 90.00 90.00
With the nearest neighbours (Å) after each atom.
Fractional positions:
Tc (0.0000, 0.0000, 0.2500)  8 Sb 2.83, 2 Tc 3.04
Tc (0.0000, 0.0000, 0.7500)  8 Sb 2.83, 2 Tc 3.04
Tc (0.5000, 0.5000, 0.2500)  8 Sb 2.83, 2 Tc 3.04
Tc (0.5000, 0.5000, 0.7500)  8 Sb 2.83, 2 Tc 3.04
Sb (0.1625, 0.3375, 0.0000)  4 Tc 2.83, 1 Sb 2.93
Sb (0.1625, 0.6625, 0.5000)  4 Tc 2.83, 1 Sb 2.93
Sb (0.3375, 0.1625, 0.5000)  4 Tc 2.83, 1 Sb 2.93
Sb (0.3375, 0.8375, 0.0000)  4 Tc 2.83, 1 Sb 2.93
Sb (0.6625, 0.1625, 0.0000)  4 Tc 2.83, 1 Sb 2.93
Sb (0.6625, 0.8375, 0.5000)  4 Tc 2.83, 1 Sb 2.93
Sb (0.8375, 0.3375, 0.5000)  4 Tc 2.83, 1 Sb 2.93
Sb (0.8375, 0.6625, 0.0000)  4 Tc 2.83, 1 Sb 2.93

## Properties
V = 20.58 Å³ per atom
spin magnetization = 0.0 μB/f.u.

=====

Stability ranking, top entry: (y); the second entry is 175 meV/atom less favorable.

=====

(w)
DFT (PBE) results for TcSb2 after structural relaxation.

Lattice parameters (Å, degrees): 3.5005 13.6674 5.2262 90.00 90.00 90.00
With the nearest neighbours (Å) after each atom.
Fractional positions:
Tc (0.0000, 0.1146, 0.2500)  4 Sb 2.73-2.88
Tc (0.0000, 0.8854, 0.7500)  4 Sb 2.73-2.88
Tc (0.5000, 0.3854, 0.7500)  4 Sb 2.73-2.88
Tc (0.5000, 0.6146, 0.2500)  4 Sb 2.73-2.88
Sb (0.0000, 0.2325, 0.7500)  2 Tc 2.73, 2 Sb 3.01
Sb (0.0000, 0.4469, 0.2500)  2 Tc 2.88, 4 Sb 2.99-3.01
Sb (0.0000, 0.5531, 0.7500)  2 Tc 2.88, 4 Sb 2.99-3.01
Sb (0.0000, 0.7675, 0.2500)  2 Tc 2.73, 2 Sb 3.01
Sb (0.5000, 0.0531, 0.7500)  2 Tc 2.88, 4 Sb 2.99-3.01
Sb (0.5000, 0.2675, 0.2500)  2 Tc 2.73, 2 Sb 3.01
Sb (0.5000, 0.7325, 0.7500)  2 Tc 2.73, 2 Sb 3.01
Sb (0.5000, 0.9469, 0.2500)  2 Tc 2.88, 4 Sb 2.99-3.01

## Properties
V = 20.84 Å³ per atom
spin magnetization = 0.0 μB/f.u.

=====

(x)
DFT (PBE) results for TcSb2 after structural relaxation.

Lattice parameters (Å, degrees): 11.9436 3.3592 7.2913 90.00 110.01 90.00
With the nearest neighbours (Å) after each atom.
Fractional positions:
Tc (0.1379, 0.0000, 0.0346)  7 Sb 2.71-2.84
Tc (0.3621, 0.5000, 0.9654)  7 Sb 2.71-2.84
Tc (0.6379, 0.5000, 0.0346)  7 Sb 2.71-2.84
Tc (0.8621, 0.0000, 0.9654)  7 Sb 2.71-2.84
Sb (0.0314, 0.5000, 0.2344)  4 Tc 2.80-2.84, 1 Sb 3.11
Sb (0.1987, 0.0000, 0.7089)  3 Tc 2.71-2.76
Sb (0.3013, 0.5000, 0.2911)  3 Tc 2.71-2.76
Sb (0.4686, 0.0000, 0.7656)  4 Tc 2.80-2.84, 1 Sb 3.11
Sb (0.5314, 0.0000, 0.2344)  4 Tc 2.80-2.84, 1 Sb 3.11
Sb (0.6987, 0.5000, 0.7089)  3 Tc 2.71-2.76
Sb (0.8013, 0.0000, 0.2911)  3 Tc 2.71-2.76
Sb (0.9686, 0.5000, 0.7656)  4 Tc 2.80-2.84, 1 Sb 3.11

## Properties
V = 22.91 Å³ per atom
spin magnetization = 0.0 μB/f.u.

=====

Stability ranking, top entry: (x); the second entry is 345 meV/atom less favorable.